GGA-PBEsol MgAlAu2, relaxed; energy of formation = -1.98 eV per formula unit; space-group type = P4/mmm (123); D(E_F) = 0.257 states/eV/atom; VASP energy = -3.91 eV/atom; M_tot = 0.000 μB per cell
1.0
-0.746 2.316 2.291
1.516 -2.676 3.200
4.052 1.754 -0.453
Mg Au Al
1 2 1
Direct
0.500 0.500 0.500
0.000 0.500 0.000
0.000 0.000 0.500
0.500 0.000 0.000

***

GGA-PBEsol CaInBr2, relaxed; space-group type = P4/mmm (123); D(E_F) = 0.575 states/eV/atom; VASP energy = -3.15 eV/atom; offset from the most stable computed form = 46 meV/atom; M_tot = 0.001 μB per cell; formation energy without anion corrections = -932.4 meV/atom
1.0
-0.313 1.489 4.037
-0.279 -4.675 1.703
4.962 -0.137 0.436
In Br Ca
1 2 1
Direct
0.500 0.000 0.000
0.000 0.500 0.000
0.000 0.000 0.500
0.500 0.500 0.500

***

GGA-PBEsol MgGaCoPb2, relaxed; energy of formation = 3.14 eV per formula unit; space-group type = P4/mmm (123); D(E_F) = 1.135 states/eV/atom; VASP energy = -3.53 eV/atom; M_tot = 1.054 μB per cell
1.0
4.444 0.000 0.000
0.000 5.379 0.000
0.000 0.000 5.379
Ga Pb Mg Co
1 2 1 1
Direct
0.000 0.000 0.000
0.000 0.500 0.000
0.000 0.000 0.500
0.500 0.500 0.500
0.500 0.000 0.000

***

GGA-PBEsol LiPPtPb2, relaxed; energy of formation = 2.63 eV per formula unit; space-group type = P4/mmm (123); D(E_F) = 0.428 states/eV/atom; VASP energy = -4.02 eV/atom; M_tot = 0.000 μB per cell
1.0
-0.187 0.535 4.240
3.608 -3.380 0.585
3.423 3.602 -0.303
Pb Li Pt P
2 1 1 1
Direct
0.000 0.000 0.500
0.000 0.500 0.000
0.000 0.000 0.000
0.500 0.000 0.000
0.500 0.500 0.500

***

GGA-PBEsol YMn2Os, relaxed; energy of formation = 1.55 eV per formula unit; space-group type = Imm2 (44); D(E_F) = 0.948 states/eV/atom; VASP energy = -9.25 eV/atom; offset from the most stable computed form = 0 meV/atom; M_tot = 2.819 μB per cell
1.0
-2.163 0.638 -1.959
1.877 -2.762 -2.972
-2.353 -2.387 4.096
Mn Y Os
2 1 1
Direct
0.025 0.025 0.050
0.755 0.255 0.509
0.248 0.748 0.495
0.472 0.472 0.945

***

GGA-PBEsol Sr2BiS, relaxed; space-group type = I-42d (122); D(E_F) = 1.013 states/eV/atom; VASP energy = -4.22 eV/atom; M_tot = 0.001 μB per cell; formation energy without anion corrections = -1127.8 meV/atom
1.0
6.999 0.267 0.436
-2.368 6.592 -0.436
-2.368 -3.394 5.668
Sr S Bi
4 2 2
Direct
0.046 0.875 0.421
0.546 0.171 0.125
0.954 0.375 0.829
0.454 0.579 0.625
0.000 0.500 0.500
0.500 0.250 0.750
0.500 0.750 0.250
0.000 0.000 0.000

***

GGA-PBEsol BaSrLi2I, relaxed; space-group type = P4/mmm (123); D(E_F) = 0.955 states/eV/atom; VASP energy = -1.84 eV/atom; M_tot = 0.001 μB per cell; formation energy without anion corrections = 94.4 meV/atom
1.0
6.330 0.000 0.000
0.000 6.328 0.000
0.000 0.000 6.328
Li Ba Sr I
2 1 1 1
Direct
0.000 0.000 0.500
0.000 0.500 0.000
0.000 0.000 0.000
0.500 0.500 0.500
0.500 0.000 0.000

***

GGA-PBEsol TiH3Br, relaxed; space-group type = Pm-3m (221); D(E_F) = 0.599 states/eV/atom; VASP energy = -2.81 eV/atom; M_tot = 1.496 μB per cell
1.0
3.718 0.000 0.000
0.000 3.718 0.000
0.000 0.000 3.718
Br H Ti
1 3 1
Direct
0.000 0.000 0.000
0.500 0.000 0.000
0.000 0.000 0.500
0.000 0.500 0.000
0.500 0.500 0.500

***

GGA-PBEsol Te4Mo3S2, relaxed; space-group type = P-6m2 (187); D(E_F) = 0.217 states/eV/atom; VASP energy = -6.90 eV/atom; offset from the most stable computed form = 2 meV/atom; M_tot = 0.000 μB per cell; formation energy without anion corrections = -437.5 meV/atom
1.0
3.360 0.000 0.000
-1.680 2.910 0.000
0.000 0.000 21.274
Mo S Te
3 2 4
Direct
0.000 0.000 0.692
0.667 0.333 0.000
0.000 0.000 0.308
0.000 0.000 0.930
0.000 0.000 0.070
0.667 0.333 0.605
0.667 0.333 0.780
0.667 0.333 0.395
0.667 0.333 0.220

***

GGA-PBEsol KScS2N, relaxed; space-group type = P4/mmm (123); D(E_F) = 0.685 states/eV/atom; VASP energy = -5.50 eV/atom; M_tot = 2.677 μB per cell; formation energy without anion corrections = -490.4 meV/atom
1.0
4.321 0.000 0.000
0.000 4.991 0.000
0.000 0.000 4.991
K N S Sc
1 1 2 1
Direct
0.500 0.500 0.500
0.500 0.000 0.000
0.000 0.000 0.500
0.000 0.500 0.000
0.000 0.000 0.000

***

GGA-PBEsol Te2Cl, relaxed; space-group type = I4/mcm (140); D(E_F) = 0.597 states/eV/atom; VASP energy = -2.84 eV/atom; offset from the most stable computed form = 337 meV/atom; M_tot = 0.000 μB per cell; formation energy without anion corrections = 178.5 meV/atom
1.0
-2.481 5.721 -0.110
-2.674 -4.003 3.965
5.828 -0.350 2.193
Cl Te
2 4
Direct
0.000 0.250 0.250
0.000 0.750 0.750
0.500 0.864 0.636
0.500 0.136 0.364
0.227 0.364 0.864
0.773 0.636 0.136

***

GGA-PBEsol Ta2Zn2NiO8, relaxed; space-group type = C2/c (15); VASP energy = -7.93 eV/atom; M_tot = 4.065 μB per cell; formation energy without anion corrections = -2048.9 meV/atom
1.0
5.189 0.000 -0.001
0.000 5.833 0.000
-0.044 -2.916 9.395
O Ta Ni Zn
16 4 2 4
Direct
0.865 0.163 0.615
0.917 0.437 0.113
0.135 0.837 0.385
0.583 0.325 0.887
0.365 0.453 0.615
0.940 0.724 0.646
0.083 0.563 0.887
0.581 0.815 0.868
0.560 0.078 0.354
0.440 0.922 0.646
0.417 0.675 0.113
0.419 0.185 0.132
0.060 0.276 0.354
0.919 0.948 0.132
0.081 0.052 0.868
0.635 0.547 0.385
0.759 0.272 0.224
0.259 0.952 0.224
0.241 0.728 0.776
0.741 0.048 0.776
0.750 0.636 0.000
0.250 0.364 0.000
0.236 0.124 0.562
0.764 0.876 0.438
0.264 0.563 0.438
0.736 0.437 0.562